w:
A plane-wave DFT calculation with PBE-GGA was carried out for a geometry-optimized Zn2AsI structure.

Computed properties:
Its total moment is 0.0 μB per formula unit. Its volume is 29.351 Å³/atom. As for the mass density: 4.70 Mg/m³.

Cell: 4.2765 8.9417 6.1406 Å, 90.00 90.00 90.00°
Fractional positions:
Zn: 0.0000 0.0571 0.0000
Zn: 0.0000 0.6625 0.8638
Zn: 0.5000 0.3375 0.3638
Zn: 0.5000 0.9429 0.5000
As: 0.0000 0.8941 0.6779
As: 0.5000 0.1059 0.1779
I: 0.0000 0.3851 0.6582
I: 0.5000 0.6149 0.1582

***

x:
A plane-wave DFT calculation with PBE-GGA was carried out for a geometry-optimized Zn2AsI structure.

Computed properties:
Its total moment is 0.0 μB per formula unit. Its volume is 21.883 Å³/atom. As for the mass density: 6.31 Mg/m³.

Cell: 4.9838 4.9838 4.9838 Å, 60.00 60.00 60.00°
Fractional positions:
Zn: 0.2500 0.2500 0.2500
Zn: 0.7500 0.7500 0.7500
As: 0.0000 0.0000 0.0000
I: 0.5000 0.5000 0.5000

***

Energies relative to the most stable structure are w 0; x 728, reported in meV/atom.

***

w:
A plane-wave DFT calculation with PBE-GGA was carried out for a geometry-optimized ZnAs2I structure.

Computed properties:
Its total moment is 0.0 μB per formula unit. Its volume is 29.474 Å³/atom. As for the mass density: 4.82 Mg/m³.

Cell: 8.2473 8.2473 8.2473 Å, 139.35 139.35 58.84°
Fractional positions:
Zn: 0.0000 0.0000 0.0000
Zn: 0.7500 0.2500 0.5000
As: 0.0358 0.6250 0.9108
As: 0.3750 0.2858 0.4108
As: 0.7142 0.1250 0.0892
As: 0.8750 0.9642 0.5892
I: 0.2500 0.7500 0.5000
I: 0.5000 0.5000 0.0000

***

x:
A plane-wave DFT calculation with PBE-GGA was carried out for a geometry-optimized ZnAs2I structure.

Computed properties:
Its total moment is 0.0 μB per formula unit. Its volume is 22.476 Å³/atom. As for the mass density: 6.32 Mg/m³.

Cell: 5.0284 5.0284 5.0284 Å, 60.00 60.00 60.00°
Fractional positions:
Zn: 0.0000 0.0000 0.0000
As: 0.2500 0.2500 0.2500
As: 0.7500 0.7500 0.7500
I: 0.5000 0.5000 0.5000

***

Energies relative to the most stable structure are w 0; x 245, reported in meV/atom.